Here is a geometry-optimized YHgGe structure from OQMD via LeMat-Bulk. Energies are from PBE.

Lattice parameters (Å, degrees): 4.751 4.751 4.751 60.00 60.00 60.00
Fractional positions:
Y  0.000  0.000  0.000
Hg  0.500  0.500  0.500
Ge  0.750  0.750  0.750

Values from the calculation:
**Mass density**: 7929 kg/m³
**Total DFT energy (no corrections)**: -4.1291 eV per atom
**Space-group type**: F-43m, No. 216